[1]
TbCePaGa after structural relaxation. Source: the Alexandria database, functional PBE-GGA.

Output
Crystal system: cubic
Calculated formation energy: 0.0895 eV/atom

a = 7.3670 Å, b = 7.3670 Å, c = 7.3670 Å
α = 90.00°, β = 90.00°, γ = 90.00°
Space group F-43m (No. 216)
Asymmetric unit:
Tb  0.0000  0.0000  0.0000 [4 per cell]
Ce  0.0000  0.0000  0.5000 [4 per cell]
Pa  0.2500  0.2500  0.2500 [4 per cell]
Ga  0.2500  0.2500  0.7500 [4 per cell]

---

[2]
TaRuIN2 after structural relaxation. Source: the Alexandria database, functional PBE-GGA.

Output
Crystal system: tetragonal
Formation energy without anion corrections: 1.606 eV/atom
Energy above the most stable polymorph in this dataset: 701 meV/atom

a = 3.9288 Å, b = 3.9288 Å, c = 5.5772 Å
α = 90.00°, β = 90.00°, γ = 90.00°
Space group P4/mmm (No. 123)
Asymmetric unit:
Ta  0.0000  0.0000  0.0000 [1 per cell]
Ru  0.5000  0.5000  0.5000 [1 per cell]
I  0.5000  0.5000  0.0000 [1 per cell]
N  0.0000  0.5000  0.5000 [2 per cell]

---

[3]
CaPrAlCu after structural relaxation. Source: the Alexandria database, functional PBE-GGA.

Output
Crystal system: cubic
Calculated formation energy: -0.1792 eV/atom

a = 7.3551 Å, b = 7.3551 Å, c = 7.3551 Å
α = 90.00°, β = 90.00°, γ = 90.00°
Space group F-43m (No. 216)
Asymmetric unit:
Ca  0.0000  0.0000  0.0000 [4 per cell]
Pr  0.0000  0.0000  0.5000 [4 per cell]
Al  0.2500  0.2500  0.7500 [4 per cell]
Cu  0.2500  0.2500  0.2500 [4 per cell]

---

[4]
CuPdSe after structural relaxation. Source: the Alexandria database, functional PBE-GGA.

Output
Crystal system: monoclinic
Formation energy without anion corrections: -0.081 eV/atom
Energy above the most stable polymorph in this dataset: 66 meV/atom

a = 4.3460 Å, b = 8.7731 Å, c = 5.4115 Å
α = 90.00°, β = 111.41°, γ = 90.00°
Space group Cc (No. 9)
Asymmetric unit:
Cu  0.0000  0.0007  0.0000 [4 per cell]
Pd  0.0439  0.3194  0.1368 [4 per cell]
Se  0.0323  0.3721  0.6503 [4 per cell]

---

[5]
AlAu2F after structural relaxation. Source: the Alexandria database, functional PBE-GGA.

Output
Crystal system: tetragonal
Formation energy without anion corrections: -0.594 eV/atom
Energy above the most stable polymorph in this dataset: 0 meV/atom

a = 7.1089 Å, b = 7.1089 Å, c = 5.3494 Å
α = 90.00°, β = 90.00°, γ = 90.00°
Space group I-42d (No. 122)
Asymmetric unit:
Al  0.0000  0.0000  0.0000 [4 per cell]
Au  0.2385  0.7500  0.1250 [8 per cell]
F  0.0000  0.0000  0.5000 [4 per cell]

---

[6]
BaNi2Ag2 after structural relaxation. Source: the Alexandria database, functional PBE-GGA.

Output
Crystal system: tetragonal
Energy above the most stable polymorph in this dataset: 82 meV/atom
Calculated formation energy: 0.1925 eV/atom

a = 4.5778 Å, b = 4.5778 Å, c = 10.3614 Å
α = 90.00°, β = 90.00°, γ = 90.00°
Space group I4/mmm (No. 139)
Asymmetric unit:
Ba  0.0000  0.0000  0.0000 [2 per cell]
Ni  0.0000  0.5000  0.2500 [4 per cell]
Ag  0.0000  0.0000  0.3647 [4 per cell]